(1)
Computed, not measured: Re5Ni4 after structural relaxation at the PBE level of DFT.

a b c (Å): 3.7879 5.9268 5.9268
angles (deg): 95.86 108.64 71.36
Fractional coordinates of all 9 atoms:
Ni: 0.3349 0.6651 0.3349
Ni: 0.0000 0.3349 0.3349
Ni: 0.0000 0.6651 0.6651
Ni: 0.6651 0.3349 0.6651
Re: 0.0000 0.0000 0.0000
Re: 0.6694 0.6611 0.0000
Re: 0.3306 0.3389 0.0000
Re: 0.6694 0.0000 0.3389
Re: 0.3306 0.0000 0.6611

Properties
- Size of the total moment: 0.00 μB per cell
- Energy relative to the lowest polymorph listed for this composition: 0 meV/atom
- Space group: No. 139

(2)
Computed, not measured: Pr2YEr2Mg5 after structural relaxation at the PBE level of DFT.

a b c (Å): 5.0775 10.6374 10.6374
angles (deg): 90.00 90.00 90.00
Fractional coordinates of all 20 atoms:
Pr: 0.0000 0.3239 0.8239
Pr: 0.0000 0.8239 0.6761
Pr: 0.0000 0.6761 0.1761
Pr: 0.0000 0.1761 0.3239
Er: 0.0000 0.6202 0.8798
Er: 0.0000 0.1202 0.6202
Er: 0.0000 0.3798 0.1202
Er: 0.0000 0.8798 0.3798
Mg: 0.5000 0.8028 0.9268
Mg: 0.5000 0.5000 0.0000
Mg: 0.5000 0.5732 0.6972
Mg: 0.5000 0.9268 0.1972
Mg: 0.5000 0.1972 0.0732
Mg: 0.5000 0.3028 0.5732
Mg: 0.5000 0.4268 0.3028
Mg: 0.5000 0.6972 0.4268
Mg: 0.5000 0.0732 0.8028
Mg: 0.5000 0.0000 0.5000
Y: 0.0000 0.5000 0.5000
Y: 0.0000 0.0000 0.0000

Properties
- Size of the total moment: 0.00 μB per cell
- Space group: No. 127

no.,calculated total energy (eV/atom),formation energy (meV/atom)
1,-9.473,12
2,-3.296,17